Entry 1:
Pr6Si2PtCl3: relaxed, PBE.

uncorrected energy: -5.47 eV per atom
SG: C2/m, No. 12
raw formation energy: -14.514 eV per formula unit

POSCAR file:
```
Pr6Si2PtCl3
1.0
9.307 -2.109 0.000
9.307 2.109 0.000
-1.836 0.000 8.486
Pr Si Pt Cl
6 2 1 3
Direct
0.005 0.005 0.233
0.328 0.328 0.427
0.337 0.337 0.899
0.663 0.663 0.101
0.672 0.672 0.573
0.995 0.995 0.767
0.166 0.166 0.337
0.834 0.834 0.663
0.500 0.500 0.000
0.170 0.170 0.835
0.500 0.500 0.500
0.830 0.830 0.165
```

Entry 2:
Pr6SiPt2Cl3: relaxed, PBE.

uncorrected energy: -5.55 eV per atom
SG: C2/m, No. 12
raw formation energy: -14.837 eV per formula unit

POSCAR file:
```
Pr6SiPt2Cl3
1.0
3.700 -6.381 0.000
3.700 6.381 0.000
-2.474 0.000 7.147
Pr Si Pt Cl
6 1 2 3
Direct
0.085 0.424 0.776
0.234 0.234 0.219
0.424 0.085 0.776
0.576 0.915 0.224
0.766 0.766 0.781
0.915 0.576 0.224
0.500 0.500 0.000
0.168 0.832 0.000
0.832 0.168 0.000
0.000 0.000 0.500
0.344 0.656 0.500
0.656 0.344 0.500
```